#A
An optimized crystal structure of Tm3ThSe4. Source: Alexandria via LeMat-Bulk, functional GGA-PBE.

Computed properties:
**Total magnetization**: 0.00 μB per atom

Cell: 3.989 3.989 27.652 Å, 90.00 90.00 120.00°
Positions (direct):
Tm  0.000  0.000  0.000
Tm  0.000  0.000  0.500
Tm  0.333  0.667  0.121
Tm  0.333  0.667  0.379
Tm  0.667  0.333  0.621
Tm  0.667  0.333  0.879
Th  0.333  0.667  0.750
Th  0.667  0.333  0.250
Se  0.000  0.000  0.180
Se  0.000  0.000  0.320
Se  0.000  0.000  0.680
Se  0.000  0.000  0.820
Se  0.333  0.667  0.560
Se  0.333  0.667  0.940
Se  0.667  0.333  0.060
Se  0.667  0.333  0.440

=====

#B
An optimized crystal structure of Tm3ThSe4. Source: Alexandria via LeMat-Bulk, functional GGA-PBE.

Computed properties:
**Total magnetization**: 0.00 μB per atom

Cell: 7.087 7.087 4.007 Å, 90.00 90.00 108.75°
Positions (direct):
Tm  0.000  0.000  0.000
Tm  0.000  0.500  0.500
Tm  0.500  0.000  0.500
Th  0.500  0.500  0.000
Se  0.236  0.236  0.500
Se  0.243  0.757  0.000
Se  0.757  0.243  0.000
Se  0.764  0.764  0.500

=====

Of the structures shown above, #B is the least stable.